This record from Alexandria describes an optimized crystal structure of CePaGe2Rh5. The functional is PBE-GGA.

**Crystal system**: tetragonal
**Formation energy from the elements**: -0.72 eV/atom
**Magnetic moment**: 0.00 μB per formula unit
**Volume**: 156.5 Å³ per cell

Cell: 4.1868 4.1868 8.9302 Å, 90.00 90.00 90.00°
Last column: nearest neighbours and their distance in Å.
Sites, in units of the cell vectors:
Ce: 0.0000 0.0000 0.5000  12 Rh 2.94-2.96
Pa: 0.0000 0.0000 0.0000  8 Rh 3.19, 8 Ge 3.20
Ge: 0.5000 0.5000 0.1372  4 Rh 2.40, 1 Ge 2.45
Ge: 0.5000 0.5000 0.8628  4 Rh 2.40, 1 Ge 2.45
Rh: 0.0000 0.5000 0.2695  2 Ge 2.40
Rh: 0.5000 0.0000 0.2695  2 Ge 2.40
Rh: 0.0000 0.5000 0.7305  2 Ge 2.40
Rh: 0.5000 0.0000 0.7305  2 Ge 2.40
Rh: 0.5000 0.5000 0.5000  8 Rh 2.94, 4 Ce 2.96, 2 Ge 3.24



This record from Alexandria describes an optimized crystal structure of HfReHgBi2. The functional is PBE-GGA.

**Crystal system**: tetragonal
**Formation energy from the elements**: 1.78 eV/atom
**Magnetic moment**: 2.13 μB per formula unit
**Volume**: 152.0 Å³ per cell

Cell: 5.4747 5.0712 5.4747 Å, 90.00 90.00 90.00°
Last column: nearest neighbours and their distance in Å.
Sites, in units of the cell vectors:
Re: 0.0000 0.5000 0.0000  2 Hg 2.54
Hf: 0.5000 0.5000 0.5000  8 Bi 3.73, 4 Re 3.87
Bi: 0.0000 0.0000 0.5000  2 Hg 2.74
Bi: 0.5000 0.0000 0.0000  2 Hg 2.74
Hg: 0.0000 0.0000 0.0000  2 Re 2.54, 4 Bi 2.74



This record from Alexandria describes an optimized crystal structure of Th2SiPd4Pt2. The functional is PBE-GGA.

**Crystal system**: tetragonal
**Magnetic moment**: 0.00 μB per formula unit
**E_form (uncorrected)**: -899 meV per atom
**Volume**: 171.8 Å³ per cell

Cell: 6.2933 6.2933 6.2933 Å, 87.28 121.58 121.58°
Last column: nearest neighbours and their distance in Å.
Sites, in units of the cell vectors:
Th: 0.5000 0.7500 0.2500  4 Pt 3.07, 8 Pd 3.15
Th: 0.5000 0.2500 0.7500  4 Pt 3.07, 8 Pd 3.15
Si: 0.0000 0.0000 0.0000  4 Pd 2.38, 2 Pt 2.42
Pd: 0.0000 0.7263 0.2737  1 Si 2.38
Pd: 0.4526 0.7263 0.7263  1 Si 2.38
Pd: 0.0000 0.2737 0.7263  1 Si 2.38
Pd: 0.5474 0.2737 0.2737  1 Si 2.38
Pt: 0.0000 0.7347 0.7347  1 Si 2.42
Pt: 0.0000 0.2653 0.2653  1 Si 2.42



This record from Alexandria describes an optimized crystal structure of CdSe2. The functional is PBE-GGA.

**Crystal system**: hexagonal
**Magnetic moment**: 0.00 μB per formula unit
**E_form (uncorrected)**: 180 meV per atom
**Volume**: 131.9 Å³ per cell

Cell: 5.1199 5.1199 5.8123 Å, 90.00 90.00 120.00°
Last column: nearest neighbours and their distance in Å.
Sites, in units of the cell vectors:
Cd: 0.3333 0.6667 0.2500  5 Se 2.91-2.96
Cd: 0.6667 0.3333 0.7500  5 Se 2.91-2.96
Se: 0.0000 0.0000 0.0000  2 Se 2.91
Se: 0.0000 0.0000 0.5000  2 Se 2.91
Se: 0.3333 0.6667 0.7500  5 Cd 2.91-2.96
Se: 0.6667 0.3333 0.2500  5 Cd 2.91-2.96



This record from Alexandria describes an optimized crystal structure of TbHoTm2Se6. The functional is PBE-GGA.

**Crystal system**: trigonal
**Magnetic moment**: 0.00 μB per formula unit
**E_form (uncorrected)**: -1845 meV per atom
**Volume**: 285.7 Å³ per cell

Cell: 7.1535 7.1535 7.6570 Å, 62.15 62.15 59.99°
Last column: nearest neighbours and their distance in Å.
Sites, in units of the cell vectors:
Tb: 0.3172 0.3171 0.0485  6 Se 2.85-2.92
Ho: 0.8180 0.8180 0.5460  6 Se 2.83-2.90
Tm: 0.5125 0.5125 0.4625  6 Se 2.81-2.87
Tm: 0.0130 0.0130 0.9610  6 Se 2.81-2.87
Se: 0.6164 0.2254 0.2501  2 Tm 2.81-2.87, 1 Tb 2.85, 1 Ho 2.90
Se: 0.2253 0.9081 0.2501  2 Tm 2.81-2.87, 1 Tb 2.85, 1 Ho 2.90
Se: 0.9082 0.6164 0.2502  2 Tm 2.81-2.87, 1 Tb 2.85, 1 Ho 2.90
Se: 0.4113 0.7266 0.7489  2 Tm 2.81-2.87, 1 Ho 2.83, 1 Tb 2.92
Se: 0.7266 0.1131 0.7489  2 Tm 2.81-2.87, 1 Ho 2.83, 1 Tb 2.92
Se: 0.1131 0.4113 0.7490  2 Tm 2.81-2.87, 1 Ho 2.83, 1 Tb 2.92



This record from Alexandria describes an optimized crystal structure of Li2La2PmTl5. The functional is PBE-GGA.

**Crystal system**: tetragonal
**Formation energy from the elements**: -0.34 eV/atom
**Magnetic moment**: 0.00 μB per formula unit
**Volume**: 529.8 Å³ per cell

Cell: 4.4191 10.9495 10.9495 Å, 90.00 90.00 90.00°
Last column: nearest neighbours and their distance in Å.
Sites, in units of the cell vectors:
Li: 0.0000 0.1186 0.6186  6 Tl 2.87-2.92, 1 La 3.19
Li: 0.0000 0.8814 0.3814  6 Tl 2.87-2.92, 1 La 3.19
Li: 0.0000 0.6186 0.8814  6 Tl 2.87-2.92, 1 La 3.19
Li: 0.0000 0.3814 0.1186  6 Tl 2.87-2.92, 1 La 3.19
La: 0.0000 0.6753 0.1753  3 Li 3.19-3.28, 6 Tl 3.50-3.57
La: 0.0000 0.3247 0.8247  3 Li 3.19-3.28, 6 Tl 3.50-3.57
La: 0.0000 0.1753 0.3247  3 Li 3.19-3.28, 6 Tl 3.50-3.57
La: 0.0000 0.8247 0.6753  3 Li 3.19-3.28, 6 Tl 3.50-3.57
Pm: 0.0000 0.0000 0.0000  8 Tl 3.31
Pm: 0.0000 0.5000 0.5000  8 Tl 3.31
Tl: 0.5000 0.2129 0.0719  2 Li 2.92, 1 Tl 3.24
Tl: 0.5000 0.7871 0.9281  2 Li 2.92, 1 Tl 3.24
Tl: 0.5000 0.0719 0.7871  2 Li 2.92, 1 Tl 3.24
Tl: 0.5000 0.7129 0.4281  2 Li 2.92, 1 Tl 3.24
Tl: 0.5000 0.9281 0.2129  2 Li 2.92, 1 Tl 3.24
Tl: 0.5000 0.2871 0.5719  2 Li 2.92, 1 Tl 3.24
Tl: 0.5000 0.5719 0.7129  2 Li 2.92, 1 Tl 3.24
Tl: 0.5000 0.4281 0.2871  2 Li 2.92, 1 Tl 3.24
Tl: 0.5000 0.5000 0.0000  4 Li 2.87
Tl: 0.5000 0.0000 0.5000  4 Li 2.87



This record from Alexandria describes an optimized crystal structure of CeEuInAu. The functional is PBE-GGA.

**Crystal system**: cubic
**Formation energy from the elements**: -0.48 eV/atom
**Magnetic moment**: 7.69 μB per formula unit
**Volume**: 111.3 Å³ per cell

Cell: 5.3992 5.3992 5.3992 Å, 60.00 60.00 60.00°
Last column: nearest neighbours and their distance in Å.
Sites, in units of the cell vectors:
Eu: 0.0000 0.0000 0.0000  4 Au 3.31, 4 In 3.31
Au: 0.2500 0.2500 0.2500  4 Ce 3.31, 4 Eu 3.31
Ce: 0.5000 0.5000 0.5000  4 In 3.31, 4 Au 3.31
In: 0.7500 0.7500 0.7500  4 Ce 3.31, 4 Eu 3.31



This record from Alexandria describes an optimized crystal structure of Ca5CeAu6. The functional is PBE-GGA.

**Crystal system**: orthorhombic
**Formation energy from the elements**: -0.76 eV/atom
**Magnetic moment**: 1.00 μB per formula unit
**Volume**: 293.4 Å³ per cell

Cell: 5.1715 7.3241 8.1674 Å, 90.00 71.54 90.00°
Last column: nearest neighbours and their distance in Å.
Sites, in units of the cell vectors:
Ca: 0.6663 0.5000 0.6674  8 Au 3.17-3.22
Ca: 0.3296 0.0000 0.3407  8 Au 3.16-3.17
Ca: 0.0000 0.5000 0.0000  8 Au 3.12-3.21
Ca: 0.6704 0.0000 0.6593  8 Au 3.16-3.17
Ca: 0.3337 0.5000 0.3326  8 Au 3.17-3.22
Au: 0.8369 0.7509 0.3262  1 Ce 3.12, 7 Ca 3.12-3.22
Au: 0.8369 0.2491 0.3262  1 Ce 3.12, 7 Ca 3.12-3.22
Au: 0.5000 0.2393 0.0000  2 Ce 3.12, 6 Ca 3.17-3.21
Au: 0.5000 0.7607 0.0000  2 Ce 3.12, 6 Ca 3.17-3.21
Au: 0.1631 0.7509 0.6738  1 Ce 3.12, 7 Ca 3.12-3.22
Au: 0.1631 0.2491 0.6738  1 Ce 3.12, 7 Ca 3.12-3.22
Ce: 0.0000 0.0000 0.0000  8 Au 3.12



This record from Alexandria describes an optimized crystal structure of ErUO5. The functional is PBE-GGA.

**Crystal system**: orthorhombic
**Magnetic moment**: 1.05 μB per formula unit
**E_form (uncorrected)**: -2747 meV per atom
**Volume**: 114.8 Å³ per cell

Cell: 4.0425 5.7585 5.7585 Å, 71.96 69.45 69.45°
Last column: nearest neighbours and their distance in Å.
Sites, in units of the cell vectors:
Er: 0.0000 0.0000 0.0000  4 O 2.02-2.21
U: 0.5000 0.5000 0.5000  2 O 1.86
O: 0.7213 0.2787 0.2787  1 U 1.86
O: 0.0000 0.3264 0.6736  1 Er 2.21, 2 U 2.34, 1 O 2.35
O: 0.5000 0.0000 0.0000  2 Er 2.02
O: 0.0000 0.6736 0.3264  1 Er 2.21, 2 U 2.34, 1 O 2.35
O: 0.2787 0.7213 0.7213  1 U 1.86



This record from Alexandria describes an optimized crystal structure of BeSb2PdI. The functional is PBE-GGA.

**Crystal system**: tetragonal
**Energy above the most stable polymorph in this dataset**: 223 meV/atom
**Magnetic moment**: 0.42 μB per formula unit
**E_form (uncorrected)**: 851 meV per atom
**Volume**: 151.3 Å³ per cell

Cell: 5.2176 5.2176 5.5574 Å, 90.00 90.00 90.00°
Last column: nearest neighbours and their distance in Å.
Sites, in units of the cell vectors:
I: 0.0000 0.0000 0.5000  2 Pd 2.78
Sb: 0.0000 0.5000 0.0000  2 Pd 2.61
Sb: 0.5000 0.0000 0.0000  2 Pd 2.61
Pd: 0.0000 0.0000 0.0000  4 Sb 2.61, 2 I 2.78
Be: 0.5000 0.5000 0.5000  4 I 3.69, 8 Sb 3.81



This record from Alexandria describes an optimized crystal structure of Ce3PrPt8. The functional is PBE-GGA.

**Crystal system**: trigonal
**Formation energy from the elements**: -0.97 eV/atom
**Magnetic moment**: 2.37 μB per formula unit
**Volume**: 237.2 Å³ per cell

Cell: 5.4922 5.4922 9.0800 Å, 90.00 90.00 120.00°
Last column: nearest neighbours and their distance in Å.
Sites, in units of the cell vectors:
Ce: 0.6667 0.3333 0.4334  12 Pt 3.22-3.29, 3 Pr 3.39, 1 Ce 3.41
Ce: 0.6667 0.3333 0.0573  12 Pt 3.19-3.25, 4 Ce 3.34-3.41
Ce: 0.0000 0.0000 0.9415  12 Pt 3.21-3.24, 3 Ce 3.34, 1 Pr 3.41
Pr: 0.0000 0.0000 0.5655  12 Pt 3.23-3.28, 4 Ce 3.39-3.41
Pt: 0.3333 0.6667 0.4995  6 Pt 2.78-2.79
Pt: 0.3333 0.6667 0.0008  6 Pt 2.76-2.77
Pt: 0.5009 0.0017 0.7518  6 Pt 2.73-2.79
Pt: 0.5009 0.4991 0.7518  6 Pt 2.73-2.79
Pt: 0.9983 0.4991 0.7518  6 Pt 2.73-2.79
Pt: 0.1659 0.3318 0.2489  6 Pt 2.73-2.78
Pt: 0.1659 0.8341 0.2489  6 Pt 2.73-2.78
Pt: 0.6682 0.8341 0.2489  6 Pt 2.73-2.78



This record from Alexandria describes an optimized crystal structure of VSeN2Cl. The functional is PBE-GGA.

**Crystal system**: tetragonal
**Energy above the most stable polymorph in this dataset**: 0 meV/atom
**Magnetic moment**: 0.48 μB per formula unit
**E_form (uncorrected)**: 441 meV per atom
**Volume**: 76.7 Å³ per cell

Cell: 3.7457 3.7457 5.4692 Å, 90.00 90.00 90.00°
Last column: nearest neighbours and their distance in Å.
Sites, in units of the cell vectors:
N: 0.0000 0.5000 0.0000  2 V 1.87
N: 0.5000 0.0000 0.0000  2 V 1.87
Cl: 0.5000 0.5000 0.5000  4 Se 2.65
Se: 0.0000 0.0000 0.5000  4 Cl 2.65, 2 V 2.73
V: 0.0000 0.0000 0.0000  4 N 1.87



This record from Alexandria describes an optimized crystal structure of HoEr5Pd6. The functional is PBE-GGA.

**Crystal system**: orthorhombic
**Formation energy from the elements**: -0.92 eV/atom
**Magnetic moment**: 0.00 μB per formula unit
**Volume**: 252.9 Å³ per cell

Cell: 4.9776 6.8328 7.8401 Å, 90.00 71.49 90.00°
Last column: nearest neighbours and their distance in Å.
Sites, in units of the cell vectors:
Ho: 0.0000 0.0000 0.0000  8 Pd 3.02
Pd: 0.8326 0.7497 0.3348  7 Er 3.00-3.02, 1 Ho 3.02
Pd: 0.8326 0.2503 0.3348  7 Er 3.00-3.02, 1 Ho 3.02
Pd: 0.5000 0.2515 0.0000  6 Er 3.00-3.02, 2 Ho 3.02
Pd: 0.5000 0.7485 0.0000  6 Er 3.00-3.02, 2 Ho 3.02
Pd: 0.1674 0.7497 0.6652  7 Er 3.00-3.02, 1 Ho 3.02
Pd: 0.1674 0.2503 0.6652  7 Er 3.00-3.02, 1 Ho 3.02
Er: 0.6666 0.5000 0.6668  8 Pd 3.00-3.02
Er: 0.3333 0.0000 0.3334  8 Pd 3.00-3.02
Er: 0.0000 0.5000 0.0000  8 Pd 3.01-3.02
Er: 0.6667 0.0000 0.6666  8 Pd 3.00-3.02
Er: 0.3334 0.5000 0.3332  8 Pd 3.00-3.02